The following is a DFT calculation (PBE) of a relaxed structure of AcAl4Au2.

a = 4.331 Å, b = 4.377 Å, c = 8.022 Å
α = 105.83°, β = 90.00°, γ = 90.00°
Element x y z (fractional)
Al 0.500 0.813 0.625
Ac 0.000 0.000 0.000
Au 0.500 0.594 0.188
Al 0.500 0.187 0.375
Al 0.000 0.307 0.614
Al 0.000 0.693 0.386
Au 0.500 0.406 0.812

## Properties
The energy of formation from the pure elements is -0.4937 eV per atom. The space group is Cmmm, No. 65. For the total moment, the calculation gives 0.00 μB/f.u. The crystal system is orthorhombic. Its energy above the most stable polymorph in this dataset is 0.0844 eV per atom. The volume is 146.30 Å³/cell.


The following is a DFT calculation (PBE) of a relaxed structure of PmPaGaIr.

a = 5.019 Å, b = 5.019 Å, c = 5.019 Å
α = 60.00°, β = 60.00°, γ = 60.00°
Element x y z (fractional)
Ir 0.250 0.250 0.250
Ga 0.750 0.750 0.750
Pa 0.000 0.000 0.000
Pm 0.500 0.500 0.500

## Properties
The energy of formation from the pure elements is -0.3691 eV per atom. The space group is F-43m, No. 216. For the total moment, the calculation gives 0.00 μB/f.u. The crystal system is cubic. The volume is 89.39 Å³/cell.